The following is a PBE-GGA calculation of an optimized crystal structure of Li3Tm3RuO8, from Alexandria.

Computed properties:
For the raw formation energy, the calculation gives -37.7 eV per formula unit. Its space group is No. 166. The total moment is 2.000 μB/cell.

a b c (Å): 6.5141 6.5140 6.2248
angles (deg): 121.56 90.00 120.00
Fractional coordinates of all 15 atoms:
Li: 0.0000 0.0000 0.0000
Li: 0.0000 0.5000 0.0000
Li: 0.5000 0.5000 0.0000
Tm: 0.5000 0.0000 0.5000
Tm: 0.5000 0.5000 0.5000
Tm: 0.0000 0.5000 0.5000
Ru: 0.0000 0.0000 0.5000
O: 0.2562 0.5124 0.2688
O: 0.7438 0.4876 0.7312
O: 0.7710 0.5420 0.2733
O: 0.2290 0.4580 0.7267
O: 0.7710 0.0022 0.2733
O: 0.2290 0.9978 0.7267
O: 0.2312 0.0022 0.2733
O: 0.7688 0.9978 0.7267

The following is a PBE-GGA calculation of an optimized crystal structure of AlRe2Hg, from Alexandria.

Computed properties:
For the excess energy over the best structure of this formula in the dataset, the calculation gives 354.0 meV per atom. Its space group is No. 44. The total moment is 0.000 μB/cell.

a b c (Å): 5.3143 5.3143 5.3143
angles (deg): 146.33 128.78 62.71
Fractional coordinates of all 4 atoms:
Re: 0.9852 0.9852 0.0000
Re: 0.7461 0.2461 0.5000
Hg: 0.2563 0.7563 0.5000
Al: 0.5123 0.5123 0.0000

Copy entry 1 word for word.
The following is a PBE-GGA calculation of an optimized crystal structure of Li3Tm3RuO8, from Alexandria.

Computed properties:
For the raw formation energy, the calculation gives -37.7 eV per formula unit. Its space group is No. 166. The total moment is 2.000 μB/cell.

a b c (Å): 6.5141 6.5140 6.2248
angles (deg): 121.56 90.00 120.00
Fractional coordinates of all 15 atoms:
Li: 0.0000 0.0000 0.0000
Li: 0.0000 0.5000 0.0000
Li: 0.5000 0.5000 0.0000
Tm: 0.5000 0.0000 0.5000
Tm: 0.5000 0.5000 0.5000
Tm: 0.0000 0.5000 0.5000
Ru: 0.0000 0.0000 0.5000
O: 0.2562 0.5124 0.2688
O: 0.7438 0.4876 0.7312
O: 0.7710 0.5420 0.2733
O: 0.2290 0.4580 0.7267
O: 0.7710 0.0022 0.2733
O: 0.2290 0.9978 0.7267
O: 0.2312 0.0022 0.2733
O: 0.7688 0.9978 0.7267

Repeat the second record exactly.
The following is a PBE-GGA calculation of an optimized crystal structure of AlRe2Hg, from Alexandria.

Computed properties:
For the excess energy over the best structure of this formula in the dataset, the calculation gives 354.0 meV per atom. Its space group is No. 44. The total moment is 0.000 μB/cell.

a b c (Å): 5.3143 5.3143 5.3143
angles (deg): 146.33 128.78 62.71
Fractional coordinates of all 4 atoms:
Re: 0.9852 0.9852 0.0000
Re: 0.7461 0.2461 0.5000
Hg: 0.2563 0.7563 0.5000
Al: 0.5123 0.5123 0.0000